Entry 1:
## Np2SnSb4 (PBE)

Data for an optimized crystal structure of Np2SnSb4.

```
Np2SnSb4
1.0
4.316 0.000 0.000
0.000 4.316 0.000
0.000 0.000 10.767
Np Sn Sb
2 1 4
direct
0.000 0.500 0.226 Np
0.500 0.000 0.774 Np
0.000 0.000 0.500 Sn
0.000 0.000 0.000 Sb
0.000 0.500 0.703 Sb
0.500 0.000 0.297 Sb
0.500 0.500 0.000 Sb
```

Values from the calculation:
Formation energy from raw total energies = -84.6 kJ/mol of formula units

Entry 2:
## Np2SnSb (PBE)

Data for an optimized crystal structure of Np2SnSb.

```
Np2SnSb
1.0
4.782 0.000 0.000
0.000 4.782 0.000
0.000 0.000 4.454
Np Sn Sb
2 1 1
direct
0.000 0.500 0.000 Np
0.500 0.000 0.000 Np
0.000 0.000 0.500 Sn
0.500 0.500 0.500 Sb
```

Values from the calculation:
Formation energy from raw total energies = -29.3 kJ/mol of formula units
ΔE to the lowest computed polymorph = 0.001 eV per atom

Entry 3:
## Np2Sn2Sb (PBE)

Data for an optimized crystal structure of Np2Sn2Sb.

```
Np2Sn2Sb
1.0
5.093 0.000 0.000
-2.546 4.411 0.000
0.000 0.000 12.249
Np Sn Sb
4 4 2
direct
0.333 0.667 0.107 Np
0.333 0.667 0.393 Np
0.667 0.333 0.607 Np
0.667 0.333 0.893 Np
0.000 0.000 0.000 Sn
0.000 0.000 0.500 Sn
0.333 0.667 0.750 Sn
0.667 0.333 0.250 Sn
0.000 0.000 0.250 Sb
0.000 0.000 0.750 Sb
```

Values from the calculation:
Formation energy from raw total energies = 79.0 kJ/mol of formula units

Entry 4:
## NpTaSb (PBE)

Data for an optimized crystal structure of NpTaSb.

```
NpTaSb
1.0
5.200 0.000 0.000
-2.600 4.504 0.000
0.000 0.000 5.648
Np Ta Sb
2 2 2
direct
0.000 0.000 0.234 Np
0.000 0.000 0.766 Np
0.333 0.667 0.457 Ta
0.667 0.333 0.543 Ta
0.333 0.667 0.951 Sb
0.667 0.333 0.049 Sb
```

Values from the calculation:
Formation energy from raw total energies = 85.2 kJ/mol of formula units

Entry 5:
## TbNp3Sb4 (PBE)

Data for an optimized crystal structure of TbNp3Sb4.

```
TbNp3Sb4
1.0
7.688 0.000 0.000
0.000 8.761 0.000
-2.498 0.000 7.158
Tb Np Sb
2 6 8
direct
0.000 0.125 0.250 Tb
0.000 0.875 0.750 Tb
0.000 0.375 0.750 Np
0.000 0.625 0.250 Np
0.500 0.124 0.750 Np
0.500 0.374 0.250 Np
0.500 0.626 0.750 Np
0.500 0.876 0.250 Np
0.250 0.125 0.999 Sb
0.250 0.375 0.501 Sb
0.250 0.625 0.001 Sb
0.250 0.875 0.499 Sb
0.750 0.125 0.501 Sb
0.750 0.375 0.999 Sb
0.750 0.625 0.499 Sb
0.750 0.875 0.001 Sb
```

Values from the calculation:
Formation energy from raw total energies = -315.3 kJ/mol of formula units

Entry 6:
## TbNp2Sb3 (PBE)

Data for an optimized crystal structure of TbNp2Sb3.

```
TbNp2Sb3
1.0
0.000 6.220 13.183
4.404 0.000 13.183
4.404 6.220 0.000
Tb Np Sb
4 8 12
direct
0.042 0.042 0.208 Tb
0.208 0.208 0.042 Tb
0.792 0.792 0.958 Tb
0.958 0.958 0.792 Tb
0.125 0.125 0.625 Np
0.292 0.292 0.458 Np
0.375 0.375 0.875 Np
0.458 0.458 0.292 Np
0.542 0.542 0.708 Np
0.625 0.625 0.125 Np
0.708 0.708 0.542 Np
0.875 0.875 0.375 Np
0.042 0.541 0.208 Sb
0.125 0.625 0.625 Sb
0.208 0.708 0.042 Sb
0.292 0.792 0.459 Sb
0.375 0.875 0.875 Sb
0.459 0.958 0.292 Sb
0.541 0.042 0.708 Sb
0.625 0.125 0.125 Sb
0.708 0.208 0.541 Sb
0.792 0.292 0.958 Sb
0.875 0.375 0.375 Sb
0.958 0.459 0.792 Sb
```

Values from the calculation:
Formation energy from raw total energies = -293.4 kJ/mol of formula units

Entry 7:
## Tb2NpSb3 (PBE)

Data for an optimized crystal structure of Tb2NpSb3.

```
Tb2NpSb3
1.0
3.809 -6.598 0.000
3.809 6.598 0.000
-2.538 0.000 7.196
Tb Np Sb
4 2 6
direct
0.000 0.000 0.000 Tb
0.166 0.834 0.500 Tb
0.500 0.500 0.500 Tb
0.834 0.166 0.500 Tb
0.333 0.667 0.000 Np
0.667 0.333 0.000 Np
0.083 0.418 0.249 Sb
0.251 0.251 0.750 Sb
0.418 0.083 0.249 Sb
0.582 0.917 0.751 Sb
0.749 0.749 0.250 Sb
0.917 0.582 0.751 Sb
```

Values from the calculation:
Formation energy from raw total energies = -476.9 kJ/mol of formula units

Entry 8:
## TbNpSb (PBE)

Data for an optimized crystal structure of TbNpSb.

```
TbNpSb
1.0
4.255 0.000 0.000
0.000 4.255 0.000
0.000 0.000 8.837
Tb Np Sb
2 2 2
direct
0.250 0.250 0.140 Tb
0.750 0.750 0.860 Tb
0.250 0.750 0.500 Np
0.750 0.250 0.500 Np
0.250 0.250 0.782 Sb
0.750 0.750 0.218 Sb
```

Values from the calculation:
Formation energy from raw total energies = -150.2 kJ/mol of formula units

Entry 9:
## TbTm2NpSb4 (PBE)

Data for an optimized crystal structure of TbTm2NpSb4.

```
TbTm2NpSb4
1.0
7.563 0.000 0.000
0.000 4.367 0.000
-2.507 0.000 7.146
Tb Tm Np Sb
1 2 1 4
direct
0.000 0.000 0.000 Tb
0.500 0.000 0.500 Tm
0.500 0.500 0.000 Tm
0.000 0.500 0.500 Np
0.254 0.500 0.252 Sb
0.255 0.000 0.752 Sb
0.745 0.000 0.248 Sb
0.746 0.500 0.748 Sb
```

Values from the calculation:
Formation energy from raw total energies = -664.1 kJ/mol of formula units

Entry 10:
## Tb2TmNpSb4 (PBE)

Data for an optimized crystal structure of Tb2TmNpSb4.

```
Tb2TmNpSb4
1.0
7.592 0.000 0.000
0.000 4.381 0.000
-2.511 0.000 7.174
Tb Tm Np Sb
2 1 1 4
direct
0.000 0.000 0.000 Tb
0.500 0.500 0.000 Tb
0.000 0.500 0.500 Tm
0.500 0.000 0.500 Np
0.248 0.000 0.746 Sb
0.248 0.500 0.252 Sb
0.752 0.000 0.254 Sb
0.752 0.500 0.748 Sb
```

Values from the calculation:
Formation energy from raw total energies = -679.2 kJ/mol of formula units

Entry 11:
## NpTcSb2 (PBE)

Data for an optimized crystal structure of NpTcSb2.

```
NpTcSb2
1.0
4.457 0.000 0.000
0.000 4.457 0.000
0.000 0.000 4.289
Np Tc Sb
1 1 2
direct
0.000 0.000 0.000 Np
0.500 0.500 0.000 Tc
0.000 0.500 0.500 Sb
0.500 0.000 0.500 Sb
```

Values from the calculation:
Formation energy from raw total energies = 54.6 kJ/mol of formula units
ΔE to the lowest computed polymorph = 0.167 eV per atom

Entry 12:
## Np6TcSb10 (PBE)

Data for an optimized crystal structure of Np6TcSb10.

```
Np6TcSb10
1.0
9.018 0.000 0.000
-4.509 7.810 0.000
0.000 0.000 6.080
Np Tc Sb
6 1 10
direct
0.000 0.391 0.252 Np
0.000 0.609 0.748 Np
0.391 0.000 0.252 Np
0.391 0.391 0.748 Np
0.609 0.000 0.748 Np
0.609 0.609 0.252 Np
0.000 0.000 0.500 Tc
0.000 0.245 0.765 Sb
0.000 0.755 0.235 Sb
0.245 0.000 0.765 Sb
0.245 0.245 0.235 Sb
0.333 0.667 0.000 Sb
0.333 0.667 0.500 Sb
0.667 0.333 0.000 Sb
0.667 0.333 0.500 Sb
0.755 0.000 0.235 Sb
0.755 0.755 0.765 Sb
```

Values from the calculation:
Formation energy from raw total energies = -388.4 kJ/mol of formula units

These records have Fermi-level density of states values of 3.01; 3.12; 3.06; 1.91; 4.22; 3.56; 2.04; 1.68; 1.43; 1.45; 1.84; 2.82 states/eV per atom, in the order they appear.